1.
# Sb2Au3F18

Sb2Au3F18 after structural relaxation (PBE-GGA, the Open Quantum Materials Database).

The symmetry is P2_1/c, No. 14. As for the raw total energy: -175.3 eV per cell. The calculation puts the mass density at 6.6 g/cm³.

abc: 8.6232 8.0880 9.6943
angles: 90.00 119.03 90.00
With the nearest neighbours (Å) after each atom.
Fractional positions:
F: 0.0972 0.7919 0.6761  1 Au 1.93
F: 0.8618 0.5344 0.2539  2 Au 1.99-2.11
F: 0.8618 0.9656 0.7539  2 Au 1.99-2.11
Sb: 0.3652 0.3714 0.2311  6 F 1.88-2.01
F: 0.2116 0.8811 0.9901  2 Au 1.99-2.11
Au: 0.8233 0.3285 0.1298  4 F 1.93-2.02
F: 0.7884 0.3811 0.5099  2 Au 1.99-2.11
Au: 0.1767 0.8285 0.3702  4 F 1.93-2.02
F: 0.8356 0.8662 0.2372  1 Sb 1.90
F: 0.2132 0.9777 0.5500  1 Sb 2.01, 1 Au 2.02
F: 0.5569 0.4368 0.6432  1 Sb 1.88
F: 0.2551 0.2902 0.5697  1 Sb 1.90
F: 0.2132 0.5223 0.0500  1 Sb 2.01, 1 Au 2.02
F: 0.4844 0.2865 0.8920  1 Sb 1.89
F: 0.4431 0.5632 0.3568  1 Sb 1.88
F: 0.1644 0.1338 0.7628  1 Sb 1.90
F: 0.9028 0.2081 0.3239  1 Au 1.93
F: 0.2116 0.6189 0.4901  2 Au 1.99-2.11
Sb: 0.6348 0.8714 0.2689  6 F 1.88-2.01
F: 0.4500 0.6047 0.8191  1 Sb 1.89
F: 0.5156 0.7135 0.1080  1 Sb 1.89
F: 0.5500 0.3953 0.1809  1 Sb 1.89
F: 0.0972 0.7081 0.1761  1 Au 1.93
F: 0.5500 0.1047 0.6809  1 Sb 1.89
F: 0.7449 0.7902 0.9303  1 Sb 1.90
F: 0.9028 0.2919 0.8239  1 Au 1.93
F: 0.4431 0.9368 0.8568  1 Sb 1.88
F: 0.7868 0.4777 0.9500  1 Sb 2.01, 1 Au 2.02
F: 0.1382 0.0344 0.2461  2 Au 1.99-2.11
Au: 0.0000 0.5000 0.5000  4 F 2.11
F: 0.8356 0.6338 0.7372  1 Sb 1.90
F: 0.4500 0.8953 0.3191  1 Sb 1.89
Au: 0.1767 0.6715 0.8702  4 F 1.93-2.02
F: 0.2551 0.2098 0.0697  1 Sb 1.90
F: 0.7884 0.1189 0.0099  2 Au 1.99-2.11
F: 0.1382 0.4656 0.7461  2 Au 1.99-2.11
Au: 0.8233 0.1715 0.6298  4 F 1.93-2.02
F: 0.7868 0.0223 0.4500  1 Sb 2.01, 1 Au 2.02
F: 0.4844 0.2135 0.3920  1 Sb 1.89
Sb: 0.6348 0.6286 0.7689  6 F 1.88-2.01
Sb: 0.3652 0.1286 0.7311  6 F 1.88-2.01
F: 0.7449 0.7098 0.4303  1 Sb 1.90
F: 0.5156 0.7865 0.6080  1 Sb 1.89
F: 0.1644 0.3662 0.2628  1 Sb 1.90
F: 0.5569 0.0632 0.1432  1 Sb 1.88
Au: 0.0000 0.0000 0.0000  4 F 2.11

***

2.
# Sb3AuXe2F18

Sb3AuXe2F18 after structural relaxation (PBE-GGA, the Open Quantum Materials Database).

The symmetry is P2_1/c, No. 14. As for the raw total energy: -365.3 eV per cell. The calculation puts the mass density at 5.6 g/cm³.

abc: 7.3853 9.4379 19.8110
angles: 90.00 95.11 90.00
With the nearest neighbours (Å) after each atom.
Fractional positions:
Sb: 0.1785 0.9485 0.3771  6 F 1.87-2.04
F: 0.7893 0.2628 0.1527  1 Sb 1.87
F: 0.8133 0.6481 0.1121  1 Sb 1.90
F: 0.9507 0.0909 0.5475  1 Sb 1.88
F: 0.0375 0.3394 0.4725  1 Au 2.05, 1 Sb 2.05
F: 0.3445 0.4844 0.6676  1 Sb 1.89
F: 0.1327 0.3284 0.5956  1 Sb 1.90
F: 0.4013 0.9371 0.4323  1 Sb 1.90
Au: 0.9136 0.3152 0.3767  2 F 1.92-2.05
F: 0.4013 0.5629 0.9323  1 Sb 1.90
F: 0.1283 0.3047 0.7378  1 Sb 1.89
F: 0.8153 0.2088 0.7844  1 Au 1.92
F: 0.0384 0.4705 0.1802  1 Sb 1.89
F: 0.1867 0.1481 0.3879  1 Sb 1.90
Sb: 0.6212 0.8392 0.7665  6 F 1.88-2.07
Xe: 0.1433 0.0134 0.8306  1 Au 2.57, 2 F 2.64-2.67
F: 0.6682 0.4989 0.2002  2 Sb 2.04-2.07
Sb: 0.6212 0.6608 0.2665  6 F 1.88-2.07
F: 0.7372 0.0432 0.9765  1 Sb 1.90
F: 0.7106 0.6439 0.9822  1 Sb 1.89
F: 0.6682 0.0011 0.7002  2 Sb 2.04-2.07
Sb: 0.8215 0.0515 0.6229  6 F 1.87-2.04
F: 0.8153 0.2912 0.2844  1 Au 1.92
F: 0.7106 0.8561 0.4822  1 Sb 1.89
F: 0.6073 0.8557 0.0593  1 Sb 1.89
F: 0.5198 0.3523 0.5740  1 Sb 1.88
F: 0.4363 0.2793 0.3093  1 Sb 1.89
Xe: 0.8567 0.9866 0.1694  1 Au 2.57, 2 F 2.64-2.67
F: 0.3927 0.3557 0.4407  1 Sb 1.89
F: 0.4080 0.3105 0.1726  1 Sb 1.88
F: 0.5920 0.8105 0.3274  1 Sb 1.88
F: 0.0384 0.0295 0.6802  1 Sb 1.89
F: 0.3927 0.1443 0.9407  1 Sb 1.89
F: 0.2107 0.7628 0.3473  1 Sb 1.87
Sb: 0.1785 0.5515 0.8771  6 F 1.87-2.04
F: 0.1327 0.1716 0.0956  1 Sb 1.90
F: 0.9625 0.8394 0.0275  1 Au 2.05, 1 Sb 2.05
Sb: 0.7104 0.8433 0.9753  6 F 1.88-2.05
F: 0.2894 0.1439 0.5178  1 Sb 1.89
F: 0.9616 0.5295 0.8198  1 Sb 1.89
F: 0.0493 0.5909 0.9525  1 Sb 1.88
F: 0.2107 0.7372 0.8473  1 Sb 1.87
F: 0.5637 0.7207 0.6907  1 Sb 1.89
Xe: 0.6868 0.3749 0.9165  1 Au 2.62, 2 F 2.79-2.85
F: 0.6183 0.0873 0.2485  1 Sb 1.90
F: 0.0493 0.9091 0.4525  1 Sb 1.88
Sb: 0.3788 0.3392 0.7335  6 F 1.88-2.07
F: 0.9507 0.4091 0.0475  1 Sb 1.88
F: 0.3318 0.9989 0.2998  2 Sb 2.04-2.07
Xe: 0.8567 0.5134 0.6694  1 Au 2.57, 2 F 2.64-2.67
F: 0.5920 0.6895 0.8274  1 Sb 1.88
F: 0.1847 0.7912 0.2156  1 Au 1.92
F: 0.8673 0.8284 0.9044  1 Sb 1.90
F: 0.9616 0.9705 0.3198  1 Sb 1.89
F: 0.0375 0.1606 0.9725  1 Au 2.05, 1 Sb 2.05
Xe: 0.1433 0.4866 0.3306  1 Au 2.57, 2 F 2.64-2.67
Au: 0.0864 0.6848 0.6233  2 F 1.92-2.05
F: 0.1867 0.3519 0.8879  1 Sb 1.90
F: 0.7372 0.4568 0.4765  1 Sb 1.90
F: 0.6183 0.4127 0.7485  1 Sb 1.90
Sb: 0.2896 0.3433 0.5247  6 F 1.88-2.05
F: 0.4363 0.2207 0.8093  1 Sb 1.89
F: 0.4802 0.6477 0.4260  1 Sb 1.88
F: 0.4802 0.8523 0.9260  1 Sb 1.88
F: 0.6555 0.9844 0.8324  1 Sb 1.89
F: 0.5637 0.7793 0.1907  1 Sb 1.89
F: 0.1847 0.7088 0.7156  1 Au 1.92
Sb: 0.8215 0.4485 0.1229  6 F 1.87-2.04
F: 0.3318 0.5011 0.7998  2 Sb 2.04-2.07
F: 0.7893 0.2372 0.6527  1 Sb 1.87
F: 0.8717 0.8047 0.7622  1 Sb 1.89
F: 0.9625 0.6606 0.5275  1 Au 2.05, 1 Sb 2.05
Xe: 0.6868 0.1251 0.4165  1 Au 2.62, 2 F 2.79-2.85
Sb: 0.3788 0.1608 0.2335  6 F 1.88-2.07
F: 0.3817 0.5873 0.2515  1 Sb 1.90
F: 0.4080 0.1895 0.6726  1 Sb 1.88
F: 0.5987 0.4371 0.0677  1 Sb 1.90
Au: 0.9136 0.1848 0.8767  2 F 1.92-2.05
Xe: 0.3132 0.8749 0.5835  1 Au 2.62, 2 F 2.79-2.85
Xe: 0.3132 0.6251 0.0835  1 Au 2.62, 2 F 2.79-2.85
F: 0.8133 0.8519 0.6121  1 Sb 1.90
Sb: 0.7104 0.6567 0.4753  6 F 1.88-2.05
F: 0.6555 0.5156 0.3324  1 Sb 1.89
F: 0.2628 0.9568 0.0235  1 Sb 1.90
Sb: 0.2896 0.1567 0.0247  6 F 1.88-2.05
F: 0.3445 0.0156 0.1676  1 Sb 1.89
F: 0.8717 0.6953 0.2622  1 Sb 1.89
F: 0.5987 0.0629 0.5677  1 Sb 1.90
F: 0.5198 0.1477 0.0740  1 Sb 1.88
F: 0.2894 0.3561 0.0178  1 Sb 1.89
F: 0.6073 0.6443 0.5593  1 Sb 1.89
F: 0.3817 0.9127 0.7515  1 Sb 1.90
F: 0.1283 0.1953 0.2378  1 Sb 1.89
Au: 0.0864 0.8152 0.1233  2 F 1.92-2.05
F: 0.8673 0.6716 0.4044  1 Sb 1.90
F: 0.2628 0.5432 0.5235  1 Sb 1.90

***

3.
# AuSeF

AuSeF after structural relaxation (PBE-GGA, the Open Quantum Materials Database).

The symmetry is P1, No. 1. As for the raw total energy: -19.9 eV per cell. The calculation puts the mass density at 8.6 g/cm³.

abc: 2.8789 4.8741 8.2286
angles: 96.79 96.31 94.12
With the nearest neighbours (Å) after each atom.
Fractional positions:
Se: 0.2585 0.7114 0.1055  1 F 1.85
Au: 0.0923 0.5367 0.8111  2 Se 2.45, 2 Au 2.74
Se: 0.9289 0.3662 0.5164  1 F 1.85
Au: 0.5929 0.0378 0.8139  6 Au 2.74-2.92
F: 0.9120 0.7073 0.4392  1 Se 1.85
F: 0.2786 0.3719 0.1851  1 Se 1.85

***

4.
# SiAuF6

SiAuF6 after structural relaxation (PBE-GGA, the Open Quantum Materials Database).

The symmetry is R-3m, No. 166. As for the raw total energy: -27.5 eV per cell. The calculation puts the mass density at 6.1 g/cm³.

abc: 4.5506 4.5506 4.5506
angles: 95.85 95.85 95.85
With the nearest neighbours (Å) after each atom.
Fractional positions:
F: 0.3211 0.3211 0.9419  1 Au 2.02, 1 F 2.17
F: 0.9419 0.3211 0.3211  1 Au 2.02, 1 F 2.17
Si: 0.5000 0.5000 0.5000  12 F 2.43-2.61
F: 0.3211 0.9419 0.3211  1 Au 2.02, 1 F 2.17
F: 0.6789 0.0581 0.6789  1 Au 2.02, 1 F 2.17
F: 0.6789 0.6789 0.0581  1 Au 2.02, 1 F 2.17
F: 0.0581 0.6789 0.6789  1 Au 2.02, 1 F 2.17
Au: 0.0000 0.0000 0.0000  6 F 2.02

***

5.
# SmAu3F

SmAu3F after structural relaxation (PBE-GGA, the Open Quantum Materials Database).

The symmetry is P6_3/mmc, No. 194. As for the raw total energy: -34.2 eV per cell. The calculation puts the mass density at 11.7 g/cm³.

abc: 6.5145 6.5145 5.8958
angles: 90.00 90.00 120.00
With the nearest neighbours (Å) after each atom.
Fractional positions:
Au: 0.0594 0.5297 0.2500  1 F 2.22
Au: 0.4703 0.5297 0.2500  1 F 2.22
Sm: 0.0000 0.0000 0.7500  2 Sm 2.95, 6 Au 3.27
Au: 0.5297 0.0594 0.7500  1 F 2.22
Sm: 0.0000 0.0000 0.2500  2 Sm 2.95, 6 Au 3.27
F: 0.3333 0.6667 0.7500  3 Au 2.22
F: 0.6667 0.3333 0.2500  3 Au 2.22
Au: 0.5297 0.4703 0.7500  1 F 2.22
Au: 0.4703 0.9406 0.2500  1 F 2.22
Au: 0.9406 0.4703 0.7500  1 F 2.22

***

6.
# Sn2Te2AuF2

Sn2Te2AuF2 after structural relaxation (PBE-GGA, the Open Quantum Materials Database).

The symmetry is P-4m2, No. 115. As for the raw total energy: -27.9 eV per cell. The calculation puts the mass density at 7.6 g/cm³.

abc: 4.0579 4.0579 9.7039
angles: 90.00 90.00 90.00
With the nearest neighbours (Å) after each atom.
Fractional positions:
Sn: 0.0000 0.5000 0.1549  4 F 2.53
F: 0.0000 0.0000 0.0000  4 Sn 2.53
F: 0.5000 0.5000 0.0000  4 Sn 2.53
Te: 0.0000 0.5000 0.6884  2 Au 2.73
Au: 0.0000 0.0000 0.5000  4 Te 2.73
Sn: 0.5000 0.0000 0.8451  4 F 2.53
Te: 0.5000 0.0000 0.3116  2 Au 2.73

***

7.
# Te2AuF

Te2AuF after structural relaxation (PBE-GGA, the Open Quantum Materials Database).

The symmetry is Cm, No. 8. As for the raw total energy: -14.0 eV per cell. The calculation puts the mass density at 7.8 g/cm³.

abc: 5.9786 5.9786 4.5840
angles: 104.28 104.28 39.27
With the nearest neighbours (Å) after each atom.
Fractional positions:
Te: 0.7936 0.7936 0.6725  1 F 2.13
Au: 0.4045 0.4045 0.0337  4 Te 2.69
F: 0.6551 0.6551 0.9116  1 Te 2.13
Te: 0.0065 0.0065 0.4040  2 Au 2.69, 1 Te 2.97

***

8.
# Zn2Te2AuF2

Zn2Te2AuF2 after structural relaxation (PBE-GGA, the Open Quantum Materials Database).

The symmetry is P-4m2, No. 115. As for the raw total energy: -21.6 eV per cell. The calculation puts the mass density at 8.0 g/cm³.

abc: 3.6365 3.6365 9.7965
angles: 90.00 90.00 90.00
With the nearest neighbours (Å) after each atom.
Fractional positions:
F: 0.5000 0.5000 0.5000  4 Zn 2.21
F: 0.0000 0.0000 0.5000  4 Zn 2.21
Te: 0.5000 0.0000 0.2108  2 Au 2.75, 4 Zn 3.01
Au: 0.5000 0.5000 0.0000  4 Te 2.75
Te: 0.0000 0.5000 0.7892  2 Au 2.75, 4 Zn 3.01
Zn: 0.5000 0.0000 0.6286  4 F 2.21
Zn: 0.0000 0.5000 0.3714  4 F 2.21